A plane-wave DFT calculation with GGA-PBE was carried out for CeNd2Ge after structural relaxation.

Unit cell a=3.5790 b=3.5790 c=33.2391 alpha=90.00 beta=90.00 gamma=120.00
Space group R-3m (No. 166, hexagonal axes)
Unique sites:
Ce  0.0000  0.0000  0.0000 [3 per cell]
Nd  0.0000  0.0000  0.1011 [6 per cell]
Ge  0.0000  0.0000  0.5000 [3 per cell]

energy above the lowest structure with this stoichiometry: 0.348 eV per atom
density: 6.77 Mg/m³
energy of formation from the pure elements: 0.01 eV per atom



A plane-wave DFT calculation with GGA-PBE was carried out for CeNdGe after structural relaxation.

Unit cell a=4.314 b=4.314 c=17.088 alpha=90.00 beta=90.00 gamma=90.00
Space group I4/mmm (No. 139)
Unique sites:
Ce  0.000  0.500  0.000 [4 per cell]
Nd  0.000  0.000  0.180 [4 per cell]
Ge  0.000  0.000  0.366 [4 per cell]

density: 7.46 Mg/m³
energy of formation from the pure elements: -0.65 eV per atom



A plane-wave DFT calculation with GGA-PBE was carried out for CeNdGe after structural relaxation.

Unit cell a=7.108 b=7.108 c=7.108 alpha=90.00 beta=90.00 gamma=90.00
Space group F-43m (No. 216)
Unique sites:
Ce  0.000  0.000  0.000 [4 per cell]
Nd  0.000  0.000  0.500 [4 per cell]
Ge  0.250  0.250  0.750 [4 per cell]

density: 6.60 Mg/m³
energy of formation from the pure elements: -0.41 eV per atom



A plane-wave DFT calculation with GGA-PBE was carried out for CeNd5Ge4 after structural relaxation.

Unit cell a=15.754 b=5.152 c=7.063 alpha=90.00 beta=90.88 gamma=90.00
Space group C2/m (No. 12)
Unique sites:
Ce  0.000  0.000  0.000 [2 per cell]
Nd  0.000  0.000  0.500 [2 per cell]
Nd  0.164  0.500  0.488 [4 per cell]
Nd  0.166  0.500  0.003 [4 per cell]
Ge  0.009  0.500  0.751 [4 per cell]
Ge  0.178  0.000  0.249 [4 per cell]

density: 6.67 Mg/m³
energy of formation from the pure elements: -0.60 eV per atom



A plane-wave DFT calculation with GGA-PBE was carried out for CeNd2Ge after structural relaxation.

Unit cell a=4.839 b=4.839 c=4.570 alpha=90.00 beta=90.00 gamma=90.00
Space group P4/mmm (No. 123)
Unique sites:
Ce  0.000  0.000  0.000 [1 per cell]
Nd  0.000  0.500  0.500 [2 per cell]
Ge  0.500  0.500  0.000 [1 per cell]

energy above the lowest structure with this stoichiometry: 0.000 eV per atom
density: 7.78 Mg/m³
energy of formation from the pure elements: -0.33 eV per atom



A plane-wave DFT calculation with GGA-PBE was carried out for CeNd2Ni4Ge3 after structural relaxation.

Unit cell a=4.268 b=4.268 c=10.107 alpha=90.00 beta=90.00 gamma=90.00
Space group P-4m2 (No. 115)
Unique sites:
Ce  0.000  0.000  0.000 [1 per cell]
Nd  0.000  0.500  0.719 [2 per cell]
Ni  0.000  0.000  0.500 [1 per cell]
Ni  0.000  0.500  0.148 [2 per cell]
Ni  0.500  0.500  0.500 [1 per cell]
Ge  0.000  0.500  0.382 [2 per cell]
Ge  0.500  0.500  0.000 [1 per cell]

density: 7.95 Mg/m³
energy of formation from the pure elements: -0.61 eV per atom



A plane-wave DFT calculation with GGA-PBE was carried out for CeNdGe2O8 after structural relaxation.

Unit cell a=5.174 b=5.174 c=11.466 alpha=90.00 beta=90.00 gamma=90.00
Space group I-4 (No. 82)
Unique sites:
Ce  0.000  0.000  0.000 [2 per cell]
Nd  0.000  0.500  0.750 [2 per cell]
Ge  0.000  0.000  0.500 [2 per cell]
Ge  0.000  0.500  0.250 [2 per cell]
O  0.146  0.753  0.167 [8 per cell]
O  0.158  0.254  0.578 [8 per cell]

formation energy (no corrections): -2.35 eV/atom
density: 6.03 Mg/m³



A plane-wave DFT calculation with GGA-PBE was carried out for CeNdGeOs after structural relaxation.

Unit cell a=3.918 b=4.157 c=11.678 alpha=90.00 beta=90.00 gamma=90.00
Space group Amm2 (No. 38)
Unique sites:
Ce  0.000  0.000  0.000 [2 per cell]
Nd  0.500  0.000  0.275 [2 per cell]
Ge  0.000  0.000  0.693 [2 per cell]
Os  0.500  0.000  0.542 [2 per cell]

density: 9.56 Mg/m³
energy of formation from the pure elements: -0.50 eV per atom



A plane-wave DFT calculation with GGA-PBE was carried out for CeNdPaGe after structural relaxation.

Unit cell a=7.436 b=7.436 c=7.436 alpha=90.00 beta=90.00 gamma=90.00
Space group F-43m (No. 216)
Unique sites:
Ce  0.000  0.000  0.000 [4 per cell]
Nd  0.000  0.000  0.500 [4 per cell]
Pa  0.250  0.250  0.750 [4 per cell]
Ge  0.250  0.250  0.250 [4 per cell]

density: 9.50 Mg/m³
energy of formation from the pure elements: 0.07 eV per atom



A plane-wave DFT calculation with GGA-PBE was carried out for Ce2NdGe2Pd2 after structural relaxation.

Unit cell a=4.4344 b=4.4344 c=26.7957 alpha=90.00 beta=90.00 gamma=120.00
Space group R-3m (No. 166, hexagonal axes)
Unique sites:
Ce  0.0000  0.0000  0.1395 [6 per cell]
Nd  0.0000  0.0000  0.0000 [3 per cell]
Ge  0.0000  0.0000  0.2605 [6 per cell]
Pd  0.0000  0.0000  0.4124 [6 per cell]

density: 8.54 Mg/m³
energy of formation from the pure elements: -0.78 eV per atom



A plane-wave DFT calculation with GGA-PBE was carried out for CeNdGePd after structural relaxation.

Unit cell a=7.299 b=7.299 c=7.299 alpha=90.00 beta=90.00 gamma=90.00
Space group F-43m (No. 216)
Unique sites:
Ce  0.000  0.000  0.000 [4 per cell]
Nd  0.000  0.000  0.500 [4 per cell]
Ge  0.250  0.250  0.250 [4 per cell]
Pd  0.250  0.250  0.750 [4 per cell]

density: 7.92 Mg/m³
energy of formation from the pure elements: -0.64 eV per atom



A plane-wave DFT calculation with GGA-PBE was carried out for Ce2Nd2Ge4Pd after structural relaxation.

Unit cell a=7.282 b=7.282 c=8.303 alpha=90.00 beta=90.00 gamma=90.00
Space group I4/mmm (No. 139)
Unique sites:
Ce  0.000  0.000  0.165 [4 per cell]
Nd  0.000  0.500  0.250 [4 per cell]
Ge  0.242  0.242  0.500 [8 per cell]
Pd  0.000  0.000  0.500 [2 per cell]

density: 7.28 Mg/m³
energy of formation from the pure elements: -0.49 eV per atom